# 1
This record from Alexandria via LeMat-Bulk describes a relaxed structure of BeReTe2. The functional is GGA-PBE.

Calculated values
VASP energy (eV/atom): -5.554
V (Å³/cell): 92.2

CIF file:
```
data_BeReTe2
_chemical_formula_sum 'Be1 Re1 Te2'
_cell_length_a 3.380
_cell_length_b 3.379
_cell_length_c 8.073
_cell_angle_alpha 90.00
_cell_angle_beta 90.13
_cell_angle_gamma 90.00
_symmetry_space_group_name_H-M 'P 1 m 1'
_symmetry_Int_Tables_number 6
loop_
_symmetry_equiv_pos_as_xyz
'x,y,z'
'x,-y,z'
loop_
_atom_site_label
_atom_site_type_symbol
_atom_site_fract_x
_atom_site_fract_y
_atom_site_fract_z
Be1 Be 0.000 0.000 0.000
Re1 Re 0.500 0.500 0.000
Te1 Te 0.501 0.000 0.262
Te2 Te 0.998 0.500 0.738
```

=====

# 2
This record from Alexandria via LeMat-Bulk describes a relaxed structure of BeRe2Te. The functional is GGA-PBE.

Calculated values
V (Å³/cell): 126.0
Relative energy among the computed polymorphs (meV/atom): 566

CIF file:
```
data_BeRe2Te
_chemical_formula_sum 'Be2 Re4 Te2'
_cell_length_a 3.238
_cell_length_b 4.624
_cell_length_c 8.420
_cell_angle_alpha 90.00
_cell_angle_beta 90.00
_cell_angle_gamma 90.00
_symmetry_space_group_name_H-M 'C m m m'
_symmetry_Int_Tables_number 65
_symmetry_space_group_name_Hall '-C 2 2'
loop_
_atom_site_label
_atom_site_type_symbol
_atom_site_fract_x
_atom_site_fract_y
_atom_site_fract_z
Be1 Be 0.000 0.000 0.000
Re1 Re 0.000 0.500 0.195
Te1 Te 0.000 0.000 0.500
```